Version P
Material: Cd2HgCl6
Method: DFT, PBE
State: optimized geometry

```
data_Cd2HgCl6
_chemical_formula_sum 'Cd4 Hg2 Cl12'
_symmetry_space_group_name_H-M 'C 1 2/m 1'
_symmetry_Int_Tables_number 12
_cell_length_a 14.352
_cell_length_b 3.926
_cell_length_c 9.304
_cell_angle_alpha 90.00
_cell_angle_beta 104.55
_cell_angle_gamma 90.00
loop_
_symmetry_equiv_pos_as_xyz
'x,y,z'
'-x,-y,-z'
'-x,y,-z'
'x,-y,z'
'x+1/2,y+1/2,z'
'-x+1/2,-y+1/2,-z'
'-x+1/2,y+1/2,-z'
'x+1/2,-y+1/2,z'
loop_
_atom_site_label
_atom_site_fract_x
_atom_site_fract_y
_atom_site_fract_z
Cd1 0.167 0.000 0.336
Hg1 0.000 0.500 0.000
Cl1 0.036 0.500 0.302
Cl2 0.135 0.000 0.039
Cl3 0.202 0.000 0.632
```

- calculated density (kg/m³) = 4176

***

Version Q
Material: Cd2HgCl6
Method: DFT, PBE
State: optimized geometry

```
data_Cd2HgCl6
_chemical_formula_sum 'Cd8 Hg4 Cl24'
_symmetry_space_group_name_H-M 'C 1 2/c 1'
_symmetry_Int_Tables_number 15
_cell_length_a 14.394
_cell_length_b 13.537
_cell_length_c 6.779
_cell_angle_alpha 90.00
_cell_angle_beta 115.08
_cell_angle_gamma 90.00
loop_
_symmetry_equiv_pos_as_xyz
'x,y,z'
'-x,-y,-z'
'-x,y,-z+1/2'
'x,-y,z+1/2'
'x+1/2,y+1/2,z'
'-x+1/2,-y+1/2,-z'
'-x+1/2,y+1/2,-z+1/2'
'x+1/2,-y+1/2,z+1/2'
loop_
_atom_site_label
_atom_site_fract_x
_atom_site_fract_y
_atom_site_fract_z
Cd1 0.201 0.083 0.064
Hg1 0.000 0.306 0.750
Cl1 0.121 0.416 0.644
Cl2 0.123 0.245 0.115
Cl3 0.132 0.074 0.660
```

- calculated density (kg/m³) = 3543

***

It is version P that is the most stable of them.

***

Version P
Material: CdHgCl4
Method: DFT, PBE
State: optimized geometry

```
data_CdHgCl4
_chemical_formula_sum 'Cd2 Hg2 Cl8'
_symmetry_space_group_name_H-M 'P 1 21/c 1'
_symmetry_Int_Tables_number 14
_cell_length_a 6.844
_cell_length_b 3.938
_cell_length_c 14.347
_cell_angle_alpha 90.00
_cell_angle_beta 118.00
_cell_angle_gamma 90.00
loop_
_symmetry_equiv_pos_as_xyz
'x,y,z'
'-x,-y,-z'
'-x,y+1/2,-z+1/2'
'x,-y+1/2,z+1/2'
loop_
_atom_site_label
_atom_site_fract_x
_atom_site_fract_y
_atom_site_fract_z
Cd1 0.000 0.000 0.000
Hg1 0.500 0.000 0.500
Cl1 0.048 0.001 0.386
Cl2 0.442 0.514 0.615
```

- calculated density (kg/m³) = 4425

***

Version Q
Material: CdHgCl4
Method: DFT, PBE
State: optimized geometry

```
data_CdHgCl4
_chemical_formula_sum 'Cd4 Hg4 Cl16'
_symmetry_space_group_name_H-M 'F -4 3 m'
_symmetry_Int_Tables_number 216
_symmetry_space_group_name_Hall 'F -4 2 3'
_cell_length_a 8.526
_cell_length_b 8.526
_cell_length_c 8.526
_cell_angle_alpha 90.00
_cell_angle_beta 90.00
_cell_angle_gamma 90.00
loop_
_atom_site_label
_atom_site_fract_x
_atom_site_fract_y
_atom_site_fract_z
Cd1 0.000 0.000 0.000
Hg1 0.250 0.250 0.250
Cl1 0.125 0.125 0.625
```

- calculated density (kg/m³) = 4875

***

It is version P that is the most stable of them.

***

Version P
Material: CdHgP2Cl
Method: DFT, PBE
State: optimized geometry

```
data_CdHgP2Cl
_chemical_formula_sum 'Cd1 Hg1 P2 Cl1'
_symmetry_space_group_name_H-M 'P 4/m m m'
_symmetry_Int_Tables_number 123
_symmetry_space_group_name_Hall '-P 4 2'
_cell_length_a 5.114
_cell_length_b 5.114
_cell_length_c 5.313
_cell_angle_alpha 90.00
_cell_angle_beta 90.00
_cell_angle_gamma 90.00
loop_
_atom_site_label
_atom_site_fract_x
_atom_site_fract_y
_atom_site_fract_z
Cd1 0.000 0.000 0.000
Hg1 0.500 0.500 0.500
P1 0.000 0.500 0.000
Cl1 0.000 0.000 0.500
```

- calculated density (kg/m³) = 4904

***

Version Q
Material: CdHgP2Cl
Method: DFT, PBE
State: optimized geometry

```
data_CdHgP2Cl
_chemical_formula_sum 'Cd1 Hg1 P2 Cl1'
_symmetry_space_group_name_H-M 'P 4/m m m'
_symmetry_Int_Tables_number 123
_symmetry_space_group_name_Hall '-P 4 2'
_cell_length_a 5.008
_cell_length_b 5.008
_cell_length_c 5.513
_cell_angle_alpha 90.00
_cell_angle_beta 90.00
_cell_angle_gamma 90.00
loop_
_atom_site_label
_atom_site_fract_x
_atom_site_fract_y
_atom_site_fract_z
Cd1 0.000 0.000 0.000
Hg1 0.500 0.500 0.500
P1 0.000 0.500 0.500
Cl1 0.500 0.500 0.000
```

- calculated density (kg/m³) = 4929

***

It is version P that is the most stable of them.

***

Version P
Material: CdHgSCl2
Method: DFT, PBE
State: optimized geometry

```
data_CdHgSCl2
_chemical_formula_sum 'Cd1 Hg1 S1 Cl2'
_symmetry_space_group_name_H-M 'P 4/m m m'
_symmetry_Int_Tables_number 123
_symmetry_space_group_name_Hall '-P 4 2'
_cell_length_a 5.040
_cell_length_b 5.040
_cell_length_c 5.376
_cell_angle_alpha 90.00
_cell_angle_beta 90.00
_cell_angle_gamma 90.00
loop_
_atom_site_label
_atom_site_fract_x
_atom_site_fract_y
_atom_site_fract_z
Cd1 0.000 0.000 0.000
Hg1 0.500 0.500 0.500
S1 0.000 0.000 0.500
Cl1 0.000 0.500 0.000
```

- calculated density (kg/m³) = 5058

***

Version Q
Material: CdHgSCl2
Method: DFT, PBE
State: optimized geometry

```
data_CdHgSCl2
_chemical_formula_sum 'Cd1 Hg1 S1 Cl2'
_symmetry_space_group_name_H-M 'P 4/m m m'
_symmetry_Int_Tables_number 123
_symmetry_space_group_name_Hall '-P 4 2'
_cell_length_a 5.160
_cell_length_b 5.160
_cell_length_c 5.156
_cell_angle_alpha 90.00
_cell_angle_beta 90.00
_cell_angle_gamma 90.00
loop_
_atom_site_label
_atom_site_fract_x
_atom_site_fract_y
_atom_site_fract_z
Cd1 0.000 0.000 0.000
Hg1 0.500 0.500 0.500
S1 0.500 0.500 0.000
Cl1 0.000 0.500 0.500
```

- calculated density (kg/m³) = 5033

***

It is version P that is the most stable of them.

***

Version P
Material: HoCdCl5
Method: DFT, PBE
State: optimized geometry

```
data_HoCdCl5
_chemical_formula_sum 'Ho4 Cd4 Cl20'
_symmetry_space_group_name_H-M 'C 1 2/c 1'
_symmetry_Int_Tables_number 15
_cell_length_a 7.408
_cell_length_b 13.424
_cell_length_c 9.640
_cell_angle_alpha 90.00
_cell_angle_beta 110.49
_cell_angle_gamma 90.00
loop_
_symmetry_equiv_pos_as_xyz
'x,y,z'
'-x,-y,-z'
'-x,y,-z+1/2'
'x,-y,z+1/2'
'x+1/2,y+1/2,z'
'-x+1/2,-y+1/2,-z'
'-x+1/2,y+1/2,-z+1/2'
'x+1/2,-y+1/2,z+1/2'
loop_
_atom_site_label
_atom_site_fract_x
_atom_site_fract_y
_atom_site_fract_z
Ho1 0.000 0.000 0.000
Cd1 0.000 0.459 0.250
Cl1 0.000 0.084 0.250
Cl2 0.163 0.413 0.954
Cl3 0.205 0.150 0.654
```

- calculated density (kg/m³) = 3362

***

Version Q
Material: HoCdCl5
Method: DFT, PBE
State: optimized geometry

```
data_HoCdCl5
_chemical_formula_sum 'Ho4 Cd4 Cl20'
_symmetry_space_group_name_H-M 'C 1 2/c 1'
_symmetry_Int_Tables_number 15
_cell_length_a 11.202
_cell_length_b 8.523
_cell_length_c 9.255
_cell_angle_alpha 90.00
_cell_angle_beta 112.96
_cell_angle_gamma 90.00
loop_
_symmetry_equiv_pos_as_xyz
'x,y,z'
'-x,-y,-z'
'-x,y,-z+1/2'
'x,-y,z+1/2'
'x+1/2,y+1/2,z'
'-x+1/2,-y+1/2,-z'
'-x+1/2,y+1/2,-z+1/2'
'x+1/2,-y+1/2,z+1/2'
loop_
_atom_site_label
_atom_site_fract_x
_atom_site_fract_y
_atom_site_fract_z
Ho1 0.000 0.049 0.250
Cd1 0.000 0.500 0.000
Cl1 0.000 0.371 0.250
Cl2 0.017 0.179 0.960
Cl3 0.249 0.047 0.360
```

- calculated density (kg/m³) = 3711

***

It is version P that is the most stable of them.

***

Version P
Material: Cd2I2Cl
Method: DFT, PBE
State: optimized geometry

```
data_Cd2I2Cl
_chemical_formula_sum 'Cd4 I4 Cl2'
_symmetry_space_group_name_H-M 'I 4/m m m'
_symmetry_Int_Tables_number 139
_symmetry_space_group_name_Hall '-I 4 2'
_cell_length_a 5.592
_cell_length_b 5.592
_cell_length_c 11.449
_cell_angle_alpha 90.00
_cell_angle_beta 90.00
_cell_angle_gamma 90.00
loop_
_atom_site_label
_atom_site_fract_x
_atom_site_fract_y
_atom_site_fract_z
Cd1 0.000 0.500 0.250
I1 0.000 0.000 0.161
Cl1 0.000 0.000 0.500
```

- calculated density (kg/m³) = 4769

***

Version Q
Material: Cd2I2Cl
Method: DFT, PBE
State: optimized geometry

```
data_Cd2I2Cl
_chemical_formula_sum 'Cd8 I8 Cl4'
_symmetry_space_group_name_H-M 'P n m a'
_symmetry_Int_Tables_number 62
_cell_length_a 8.516
_cell_length_b 6.214
_cell_length_c 12.810
_cell_angle_alpha 90.00
_cell_angle_beta 90.00
_cell_angle_gamma 90.00
loop_
_symmetry_equiv_pos_as_xyz
'x,y,z'
'-x,-y,-z'
'-x+1/2,-y,z+1/2'
'x+1/2,y,-z+1/2'
'x+1/2,-y+1/2,-z+1/2'
'-x+1/2,y+1/2,z+1/2'
'-x,y+1/2,-z'
'x,-y+1/2,z'
loop_
_atom_site_label
_atom_site_fract_x
_atom_site_fract_y
_atom_site_fract_z
Cd1 0.084 0.250 0.240
Cd2 0.161 0.250 0.571
I1 0.073 0.750 0.228
I2 0.153 0.750 0.572
Cl1 0.179 0.750 0.883
```

- calculated density (kg/m³) = 5037

***

It is version Q that is the most stable of them.